The following is a DFT calculation (SCAN) of a PBEsol-optimized structure of Be2CoCl.

Cell and atoms, written as POSCAR:
```
Be2CoCl
1.0
2.3626 -3.9272 0.0000
2.3626 3.9272 0.0000
-1.5179 0.0000 2.3172
Be Co Cl
2 1 1
Cartesian
1.1813 1.9636 0.0000
1.1813 -1.9636 0.0000
0.0000 0.0000 0.0000
2.3626 0.0000 0.0000
```

Properties
Uncorrected formation energy in eV per formula unit: 1.99
Total magnetization in μB per formula unit: 1.91
Fermi-level density of states in states/eV/cell: 0.64
E in eV/cell: -31.99